# La4SbPSe2 | Alexandria via LeMat-Bulk | GGA-PBE | relaxed
# Density   6.00 g/cm3
# M_tot   0.000 μB per formula unit
# Formation energy (no corrections)   -1729 meV/atom
data_La4SbPSe2
_space_group_name_H-M_alt 'P 1 2/m 1'
_space_group_IT_number 10
_cell_length_a 7.573
_cell_length_b 4.387
_cell_length_c 7.651
_cell_angle_alpha 90.00
_cell_angle_beta 109.46
_cell_angle_gamma 90.00
loop_
_space_group_symop_operation_xyz
'x,y,z'
'-x,-y,-z'
'-x,y,-z'
'x,-y,z'
loop_
_atom_site_label
_atom_site_fract_x
_atom_site_fract_y
_atom_site_fract_z
_atom_site_occupancy
La1 0.241 0.000 0.234 1
La2 0.251 0.500 0.764 1
Sb1 0.000 0.000 0.500 1
P1 0.000 0.500 0.000 1
Se1 0.500 0.000 0.000 1
Se2 0.500 0.500 0.500 1

---

# Tb3Mg2Pd3 | Alexandria via LeMat-Bulk | GGA-PBE | relaxed
# Energy of formation   -721 meV/atom
# Polymorph energy (0 for the lowest one)   0.0 meV per atom
# Density   7.95 g/cm3
# M_tot   0.000 μB per formula unit
data_Tb3Mg2Pd3
_space_group_name_H-M_alt 'P 63/m c m'
_space_group_IT_number 193
_space_group_name_Hall '-P 6c 2'
_cell_length_a 8.3834
_cell_length_b 8.3834
_cell_length_c 5.7958
_cell_angle_alpha 90.00
_cell_angle_beta 90.00
_cell_angle_gamma 120.00
loop_
_atom_site_label
_atom_site_fract_x
_atom_site_fract_y
_atom_site_fract_z
_atom_site_occupancy
Tb1 0.0000 0.2618 0.2500 1
Mg1 0.3333 0.6667 0.0000 1
Pd1 0.0000 0.3966 0.7500 1

---

# Ce2I2N | Alexandria via LeMat-Bulk | GGA-PBE | relaxed
# Density   6.02 g/cm3
# M_tot   1.202 μB per formula unit
# Formation energy (no corrections)   -1293 meV/atom
data_Ce2I2N
_space_group_name_H-M_alt 'C 1 2/m 1'
_space_group_IT_number 12
_cell_length_a 6.716
_cell_length_b 3.878
_cell_length_c 11.885
_cell_angle_alpha 90.00
_cell_angle_beta 102.16
_cell_angle_gamma 90.00
loop_
_space_group_symop_operation_xyz
'x,y,z'
'-x,-y,-z'
'-x,y,-z'
'x,-y,z'
'x+1/2,y+1/2,z'
'-x+1/2,-y+1/2,-z'
'-x+1/2,y+1/2,-z'
'x+1/2,-y+1/2,z'
loop_
_atom_site_label
_atom_site_fract_x
_atom_site_fract_y
_atom_site_fract_z
_atom_site_occupancy
Ce1 0.208 0.000 0.111 1
I1 0.053 0.000 0.695 1
N1 0.000 0.500 0.000 1

---

# Ce3SiNi | Alexandria via LeMat-Bulk | GGA-PBE | relaxed
# Density   7.10 g/cm3
# M_tot   1.977 μB per formula unit
# Formation energy (no corrections)   -354 meV/atom
data_Ce3SiNi
_space_group_name_H-M_alt 'C 1 2/m 1'
_space_group_IT_number 12
_cell_length_a 14.973
_cell_length_b 3.930
_cell_length_c 8.074
_cell_angle_alpha 90.00
_cell_angle_beta 92.13
_cell_angle_gamma 90.00
loop_
_space_group_symop_operation_xyz
'x,y,z'
'-x,-y,-z'
'-x,y,-z'
'x,-y,z'
'x+1/2,y+1/2,z'
'-x+1/2,-y+1/2,-z'
'-x+1/2,y+1/2,-z'
'x+1/2,-y+1/2,z'
loop_
_atom_site_label
_atom_site_fract_x
_atom_site_fract_y
_atom_site_fract_z
_atom_site_occupancy
Ce1 0.041 0.000 0.162 1
Ce2 0.097 0.500 0.535 1
Ce3 0.246 0.000 0.807 1
Si1 0.108 0.500 0.914 1
Ni1 0.206 0.000 0.425 1

---

# Ho5In2Te2 | Alexandria via LeMat-Bulk | GGA-PBE | relaxed
# Density   8.63 g/cm3
# M_tot   0.016 μB per formula unit
# Formation energy (no corrections)   -800 meV/atom
data_Ho5In2Te2
_space_group_name_H-M_alt 'C m c e'
_space_group_IT_number 64
_space_group_name_Hall '-C 2ac 2'
_cell_length_a 15.554
_cell_length_b 8.037
_cell_length_c 8.059
_cell_angle_alpha 90.00
_cell_angle_beta 90.00
_cell_angle_gamma 90.00
loop_
_atom_site_label
_atom_site_fract_x
_atom_site_fract_y
_atom_site_fract_z
_atom_site_occupancy
Ho1 0.000 0.000 0.000 1
Ho2 0.136 0.168 0.334 1
In1 0.000 0.131 0.629 1
Te1 0.203 0.000 0.000 1

---

# VCoSe2N | Alexandria via LeMat-Bulk | GGA-PBE | relaxed
# Polymorph energy (0 for the lowest one)   64.9 meV per atom
# Density   5.90 g/cm3
# M_tot   0.239 μB per formula unit
# Formation energy (no corrections)   468 meV/atom
data_VCoSe2N
_space_group_name_H-M_alt 'P 4/m m m'
_space_group_IT_number 123
_space_group_name_Hall '-P 4 2'
_cell_length_a 4.859
_cell_length_b 4.859
_cell_length_c 3.361
_cell_angle_alpha 90.00
_cell_angle_beta 90.00
_cell_angle_gamma 90.00
loop_
_atom_site_label
_atom_site_fract_x
_atom_site_fract_y
_atom_site_fract_z
_atom_site_occupancy
V1 0.000 0.000 0.000 1
Co1 0.500 0.500 0.500 1
Se1 0.000 0.500 0.500 1
N1 0.500 0.500 0.000 1

---

# MnZnAs2Se | Alexandria via LeMat-Bulk | GGA-PBE | relaxed
# Polymorph energy (0 for the lowest one)   891.9 meV per atom
# Density   5.27 g/cm3
# M_tot   0.084 μB per formula unit
# Formation energy (no corrections)   1244 meV/atom
data_MnZnAs2Se
_space_group_name_H-M_alt 'P 4/m m m'
_space_group_IT_number 123
_space_group_name_Hall '-P 4 2'
_cell_length_a 4.737
_cell_length_b 4.737
_cell_length_c 4.905
_cell_angle_alpha 90.00
_cell_angle_beta 90.00
_cell_angle_gamma 90.00
loop_
_atom_site_label
_atom_site_fract_x
_atom_site_fract_y
_atom_site_fract_z
_atom_site_occupancy
Mn1 0.000 0.000 0.000 1
Zn1 0.500 0.500 0.500 1
As1 0.000 0.500 0.500 1
Se1 0.500 0.500 0.000 1

---

# Li4Tb3TiS8 | Alexandria via LeMat-Bulk | GGA-PBE | relaxed
# Density   4.28 g/cm3
# M_tot   1.006 μB per formula unit
# Formation energy (no corrections)   -1693 meV/atom
data_Li4Tb3TiS8
_space_group_name_H-M_alt 'R -3 m'
_space_group_IT_number 166
_space_group_name_Hall '-R 3 2"'
_cell_length_a 7.6676
_cell_length_b 7.6676
_cell_length_c 18.4797
_cell_angle_alpha 90.00
_cell_angle_beta 90.00
_cell_angle_gamma 120.00
loop_
_atom_site_label
_atom_site_fract_x
_atom_site_fract_y
_atom_site_fract_z
_atom_site_occupancy
Li1 0.0000 0.0000 0.0000 1
Li2 0.0000 0.5000 0.0000 1
Tb1 0.0000 0.5000 0.5000 1
Ti1 0.0000 0.0000 0.5000 1
S1 0.0000 0.0000 0.2520 1
S2 0.0202 0.5101 0.2483 1

---

# Y2CoRu | Alexandria via LeMat-Bulk | GGA-PBE | relaxed
# Energy of formation   214 meV/atom
# Density   7.41 g/cm3
# M_tot   1.759 μB per formula unit
data_Y2CoRu
_space_group_name_H-M_alt 'F -4 3 m'
_space_group_IT_number 216
_space_group_name_Hall 'F -4 2 3'
_cell_length_a 6.716
_cell_length_b 6.716
_cell_length_c 6.716
_cell_angle_alpha 90.00
_cell_angle_beta 90.00
_cell_angle_gamma 90.00
loop_
_atom_site_label
_atom_site_fract_x
_atom_site_fract_y
_atom_site_fract_z
_atom_site_occupancy
Y1 0.000 0.000 0.000 1
Y2 0.250 0.250 0.250 1
Co1 0.250 0.250 0.750 1
Ru1 0.000 0.000 0.500 1

---

# Cs2Hg4Bi3 | Alexandria via LeMat-Bulk | GGA-PBE | relaxed
# Energy of formation   -174 meV/atom
# Density   8.80 g/cm3
# M_tot   0.000 μB per formula unit
data_Cs2Hg4Bi3
_space_group_name_H-M_alt 'C m c e'
_space_group_IT_number 64
_space_group_name_Hall '-C 2ac 2'
_cell_length_a 6.824
_cell_length_b 19.084
_cell_length_c 9.824
_cell_angle_alpha 90.00
_cell_angle_beta 90.00
_cell_angle_gamma 90.00
loop_
_atom_site_label
_atom_site_fract_x
_atom_site_fract_y
_atom_site_fract_z
_atom_site_occupancy
Cs1 0.000 0.108 0.095 1
Hg1 0.000 0.180 0.476 1
Hg2 0.250 0.059 0.750 1
Bi1 0.000 0.000 0.500 1
Bi2 0.250 0.220 0.750 1

---

# AlMoIr2 | Alexandria via LeMat-Bulk | GGA-PBE | relaxed
# Energy of formation   -359 meV/atom
# Polymorph energy (0 for the lowest one)   254.2 meV per atom
# Density   14.30 g/cm3
# M_tot   0.000 μB per formula unit
data_AlMoIr2
_space_group_name_H-M_alt 'R -3 m'
_space_group_IT_number 166
_space_group_name_Hall '-R 3 2"'
_cell_length_a 2.8260
_cell_length_b 2.8260
_cell_length_c 25.5480
_cell_angle_alpha 90.00
_cell_angle_beta 90.00
_cell_angle_gamma 120.00
loop_
_atom_site_label
_atom_site_fract_x
_atom_site_fract_y
_atom_site_fract_z
_atom_site_occupancy
Al1 0.0000 0.0000 0.0000 1
Mo1 0.0000 0.0000 0.5000 1
Ir1 0.0000 0.0000 0.2526 1

---

# Sm2Cu3Sn5 | Alexandria via LeMat-Bulk | GGA-PBE | relaxed
# Energy of formation   -345 meV/atom
# Density   7.93 g/cm3
# M_tot   0.000 μB per formula unit
data_Sm2Cu3Sn5
_space_group_name_H-M_alt 'C m c 21'
_space_group_IT_number 36
_cell_length_a 4.532
_cell_length_b 24.945
_cell_length_c 8.036
_cell_angle_alpha 90.00
_cell_angle_beta 90.00
_cell_angle_gamma 90.00
loop_
_space_group_symop_operation_xyz
'x,y,z'
'-x,-y,z+1/2'
'-x,y,z'
'x,-y,z+1/2'
'x+1/2,y+1/2,z'
'-x+1/2,-y+1/2,z+1/2'
'-x+1/2,y+1/2,z'
'x+1/2,-y+1/2,z+1/2'
loop_
_atom_site_label
_atom_site_fract_x
_atom_site_fract_y
_atom_site_fract_z
_atom_site_occupancy
Sm1 0.000 0.027 0.000 1
Sm2 0.000 0.326 0.009 1
Cu1 0.000 0.098 0.667 1
Cu2 0.000 0.269 0.604 1
Cu3 0.000 0.456 0.843 1
Sn1 0.000 0.099 0.339 1
Sn2 0.000 0.184 0.851 1
Sn3 0.000 0.231 0.287 1
Sn4 0.000 0.376 0.582 1
Sn5 0.000 0.451 0.194 1